TcBiO4F (PBE, relaxed); electronic total energy = -6.64 eV per atom
1.0
6.118 -0.116 -0.034
1.917 5.811 -0.034
1.594 1.130 6.859
Tc Bi O F
2 2 8 2
Cartesian
6.331 4.487 4.781
3.298 2.337 2.010
3.066 2.173 6.204
6.563 4.652 0.587
2.790 1.977 3.635
6.839 4.847 3.156
1.893 2.932 0.987
4.703 3.333 1.752
6.236 6.009 5.805
3.393 0.815 0.987
4.926 3.491 5.040
7.735 3.893 5.805
0.397 0.281 1.176
9.232 6.543 5.615

TcBiOF2 (PBE, relaxed); energy above the lowest structure with this stoichiometry = 0.00 eV/f.u.; electronic total energy = -5.51 eV per atom
1.0
4.521 0.000 0.000
0.000 4.521 0.000
0.000 0.000 3.734
F Bi O Tc
2 1 1 1
Cartesian
0.000 2.260 0.000
2.260 0.000 0.000
2.260 2.260 1.867
0.000 0.000 1.867
0.000 0.000 0.000

TcBiO2F (PBE, relaxed); electronic total energy = -5.41 eV per atom
1.0
4.462 0.000 0.000
0.000 4.462 0.000
0.000 0.000 4.466
F Bi O Tc
1 1 2 1
Cartesian
0.000 0.000 2.233
0.000 0.000 0.000
0.000 2.231 0.000
2.231 0.000 0.000
2.231 2.231 2.233

TcBiOF2 (PBE, relaxed); energy above the lowest structure with this stoichiometry = 2.27 eV/f.u.; electronic total energy = -5.06 eV per atom
1.0
-3.324 -3.090 -0.721
0.935 0.045 -4.499
2.992 -3.356 0.588
F Bi O Tc
2 1 1 1
Cartesian
0.467 0.022 -2.250
-1.662 -1.545 -0.361
0.000 0.000 0.000
1.496 -1.678 0.294
0.301 -3.201 -2.316

ΔE_f (raw) readings, ordered: -1.51, -0.92, -0.20, -0.47 eV per atom